ReSiP | PBE | optimized geometry

a = 6.6911 Å, b = 6.6911 Å, c = 3.1321 Å
α = 90.00°, β = 90.00°, γ = 106.18°
Fractional coordinates of all 9 atoms:
Re 0.3370 0.0673 0.0000
Re 0.0673 0.3370 0.0000
Re 0.7796 0.7796 0.0000
Si 0.3505 0.6670 0.0000
Si 0.6670 0.3505 0.0000
Si 0.0220 0.0220 0.5000
P 0.5313 0.8900 0.5000
P 0.8900 0.5313 0.5000
P 0.3554 0.3554 0.5000

Properties
Formation energy without anion corrections ... 0.120 eV/atom
Crystal system ... orthorhombic
Offset from the most stable computed form ... 281 meV per atom